Crystalline CaMgHg4 at its relaxed geometry, computed with PBE.

abc: 10.293 3.930 7.690
angles: 90.00 110.22 90.00
Space group C2/m (No. 12)
Inequivalent atoms, fractional coordinates:
Ca1 0.000 0.000 0.000
Mg1 0.000 0.000 0.500
Hg1 0.165 0.500 0.344
Hg2 0.165 0.500 0.816

Summary:
uncorrected energy	-0.08046	Ry per atom
energy relative to the elements	-28	kJ per mole of atoms



Crystalline LiTm2Se3 at its relaxed geometry, computed with PBE.

abc: 4.400 13.168 6.115
angles: 90.00 90.00 90.00
Space group Imm2 (No. 44)
Inequivalent atoms, fractional coordinates:
Li1 0.000 0.000 0.000
Tm1 0.000 0.332 0.962
Se1 0.000 0.156 0.726
Se2 0.000 0.500 0.711

Summary:
uncorrected energy	-0.36383	Ry per atom
ΔE_f (raw)	-1398	meV/atom



Crystalline Ho6Te2PbSe3 at its relaxed geometry, computed with PBE.

abc: 18.438 4.188 8.491
angles: 90.00 103.81 90.00
Space group C2/m (No. 12)
Inequivalent atoms, fractional coordinates:
Ho1 0.006 0.000 0.243
Ho2 0.158 0.500 0.100
Ho3 0.169 0.500 0.563
Te1 0.168 0.000 0.836
Pb1 0.000 0.500 0.500
Se1 0.000 0.500 0.000
Se2 0.169 0.000 0.332

Summary:
uncorrected energy	-0.39440	Ry per atom
ΔE_f (raw)	-1373	meV/atom